5
Lattice="5.8411 0.0000 0.0000 0.0000 5.8411 0.0000 0.0000 0.0000 5.5502" Properties=species:S:1:pos:R:3 comment="Ca2ScSiBi | the Alexandria database | PBE | optimized geometry" raw_formation_energy_kcal_per_mol_atoms=13.20 spacegroup=P4/mmm dos_ef_per_ev_atom=1.2892 pbc="T T T"
Ca 0.0000 2.9205 0.0000
Ca 2.9205 0.0000 0.0000
Sc 0.0000 0.0000 2.7751
Si 2.9205 2.9205 2.7751
Bi 2.9205 2.9205 0.0000